Record 1
A relaxed LiEuPaIr crystal, computed with PBE.

```
LiEuPaIr
1.0
7.0205 0.0000 0.0000
0.0000 7.0205 0.0000
0.0000 0.0000 7.0205
Li Eu Pa Ir
4 4 4 4
direct
0.0000 0.0000 0.0000
0.0000 0.5000 0.5000
0.5000 0.0000 0.5000
0.5000 0.5000 0.0000
0.2500 0.2500 0.7500
0.2500 0.7500 0.2500
0.7500 0.2500 0.2500
0.7500 0.7500 0.7500
0.2500 0.2500 0.2500
0.2500 0.7500 0.7500
0.7500 0.2500 0.7500
0.7500 0.7500 0.2500
0.0000 0.0000 0.5000
0.0000 0.5000 0.0000
0.5000 0.0000 0.0000
0.5000 0.5000 0.5000
```

Raw total energy = -7.7448 eV/atom
M_tot = 1.663 μB/atom
Space-group type = F-43m (216)
Formation energy = -0.108 eV per atom

Record 2
A relaxed EuInIrPd crystal, computed with PBE.

```
EuInIrPd
1.0
6.8220 0.0000 0.0000
0.0000 6.8220 0.0000
0.0000 0.0000 6.8220
Eu In Ir Pd
4 4 4 4
direct
0.0000 0.0000 0.0000
0.0000 0.5000 0.5000
0.5000 0.0000 0.5000
0.5000 0.5000 0.0000
0.0000 0.0000 0.5000
0.0000 0.5000 0.0000
0.5000 0.0000 0.0000
0.5000 0.5000 0.5000
0.2500 0.2500 0.2500
0.2500 0.7500 0.7500
0.7500 0.2500 0.7500
0.7500 0.7500 0.2500
0.2500 0.2500 0.7500
0.2500 0.7500 0.2500
0.7500 0.2500 0.2500
0.7500 0.7500 0.7500
```

Raw total energy = -7.1169 eV/atom
M_tot = 1.685 μB/atom
Space-group type = F-43m (216)
Formation energy = -0.350 eV per atom